No. 1
# Ti2VRu, relaxed, DFT GGA-PBE
data_Ti2VRu
_space_group_name_H-M_alt 'P 4/m m m'
_space_group_IT_number 123
_space_group_name_Hall '-P 4 2'
_cell_length_a 3.062
_cell_length_b 3.062
_cell_length_c 6.359
_cell_angle_alpha 90.00
_cell_angle_beta 90.00
_cell_angle_gamma 90.00
loop_
_atom_site_label
_atom_site_type_symbol
_atom_site_fract_x
_atom_site_fract_y
_atom_site_fract_z
_atom_site_occupancy
Ti1 Ti 0.000 0.000 0.243 1
V1 V 0.500 0.500 0.500 1
Ru1 Ru 0.500 0.500 0.000 1
# ΔH_f (0 K) ... -343.9 meV/atom



No. 2
# Ti2V2Ru, relaxed, DFT GGA-PBE
data_Ti2V2Ru
_space_group_name_H-M_alt 'I 4/m m m'
_space_group_IT_number 139
_space_group_name_Hall '-I 4 2'
_cell_length_a 3.085
_cell_length_b 3.085
_cell_length_c 15.345
_cell_angle_alpha 90.00
_cell_angle_beta 90.00
_cell_angle_gamma 90.00
loop_
_atom_site_label
_atom_site_type_symbol
_atom_site_fract_x
_atom_site_fract_y
_atom_site_fract_z
_atom_site_occupancy
Ti1 Ti 0.000 0.000 0.100 1
V1 V 0.000 0.000 0.291 1
Ru1 Ru 0.000 0.000 0.500 1
# ΔH_f (0 K) ... -313.2 meV/atom



No. 3
# TiVRu, relaxed, DFT GGA-PBE
data_TiVRu
_space_group_name_H-M_alt 'C m c m'
_space_group_IT_number 63
_space_group_name_Hall '-C 2c 2'
_cell_length_a 4.283
_cell_length_b 9.362
_cell_length_c 4.282
_cell_angle_alpha 90.00
_cell_angle_beta 90.00
_cell_angle_gamma 90.00
loop_
_atom_site_label
_atom_site_type_symbol
_atom_site_fract_x
_atom_site_fract_y
_atom_site_fract_z
_atom_site_occupancy
Ti1 Ti 0.000 0.089 0.250 1
V1 V 0.000 0.416 0.250 1
Ru1 Ru 0.000 0.249 0.750 1
# ΔH_f (0 K) ... -443.4 meV/atom



No. 4
# TiV4Ru2, relaxed, DFT GGA-PBE
data_TiV4Ru2
_space_group_name_H-M_alt 'I 4/m m m'
_space_group_IT_number 139
_space_group_name_Hall '-I 4 2'
_cell_length_a 4.313
_cell_length_b 4.313
_cell_length_c 12.414
_cell_angle_alpha 90.00
_cell_angle_beta 90.00
_cell_angle_gamma 90.00
loop_
_atom_site_label
_atom_site_type_symbol
_atom_site_fract_x
_atom_site_fract_y
_atom_site_fract_z
_atom_site_occupancy
Ti1 Ti 0.000 0.000 0.000 1
V1 V 0.000 0.000 0.197 1
V2 V 0.000 0.500 0.000 1
Ru1 Ru 0.000 0.000 0.377 1
# ΔH_f (0 K) ... 909.5 meV/atom



No. 5
# TiV2Ru5W2, relaxed, DFT GGA-PBE
data_TiV2Ru5W2
_space_group_name_H-M_alt 'P 4/m b m'
_space_group_IT_number 127
_space_group_name_Hall '-P 4 2ab'
_cell_length_a 8.921
_cell_length_b 8.921
_cell_length_c 3.732
_cell_angle_alpha 90.00
_cell_angle_beta 90.00
_cell_angle_gamma 90.00
loop_
_atom_site_label
_atom_site_type_symbol
_atom_site_fract_x
_atom_site_fract_y
_atom_site_fract_z
_atom_site_occupancy
Ti1 Ti 0.000 0.000 0.000 1
V1 V 0.127 0.373 0.000 1
Ru1 Ru 0.000 0.500 0.500 1
Ru2 Ru 0.067 0.202 0.500 1
W1 W 0.175 0.675 0.000 1
# ΔH_f (0 K) ... 39.9 meV/atom



No. 6
# TiVRuW2, relaxed, DFT GGA-PBE
data_TiVRuW2
_space_group_name_H-M_alt 'P 4/m m m'
_space_group_IT_number 123
_space_group_name_Hall '-P 4 2'
_cell_length_a 4.742
_cell_length_b 4.742
_cell_length_c 4.375
_cell_angle_alpha 90.00
_cell_angle_beta 90.00
_cell_angle_gamma 90.00
loop_
_atom_site_label
_atom_site_type_symbol
_atom_site_fract_x
_atom_site_fract_y
_atom_site_fract_z
_atom_site_occupancy
Ti1 Ti 0.000 0.000 0.000 1
V1 V 0.500 0.500 0.000 1
Ru1 Ru 0.500 0.500 0.500 1
W1 W 0.000 0.500 0.500 1
# ΔH_f (0 K) ... 1432.4 meV/atom



Number 1: theoretical density 6.9 g/cm³. Number 2: theoretical density 6.8 g/cm³. Number 3: theoretical density 7.7 g/cm³. Number 4: theoretical density 6.5 g/cm³. Number 5: theoretical density 11.4 g/cm³. Number 6: theoretical density 9.6 g/cm³.